Record 1
The following is a GGA-PBE calculation of BaMgNi after structural relaxation, from Alexandria via LeMat-Bulk.

Computed properties:
total DFT energy (no corrections)	-2.92	eV per atom
total magnetization	0.0	Bohr magnetons per cell

a b c (Å): 5.019 5.019 5.019
angles (deg): 60.00 60.00 60.00
Sites, in units of the cell vectors:
Ba 0.000 0.000 0.000
Mg 0.500 0.500 0.500
Ni 0.250 0.250 0.250

***

Record 2
The following is a GGA-PBE calculation of Ba2MgNi after structural relaxation, from Alexandria via LeMat-Bulk.

Computed properties:
total DFT energy (no corrections)	-2.69	eV per atom
total magnetization	0.0	Bohr magnetons per cell

a b c (Å): 7.029 7.029 7.029
angles (deg): 148.54 131.83 58.67
Sites, in units of the cell vectors:
Ba 0.000 0.000 0.000
Ba 0.688 0.188 0.500
Mg 0.366 0.366 0.000
Ni 0.215 0.715 0.500

***

Record 3
The following is a GGA-PBE calculation of Ba2MgNi after structural relaxation, from Alexandria via LeMat-Bulk.

Computed properties:
total DFT energy (no corrections)	-2.66	eV per atom
total magnetization	0.0	Bohr magnetons per cell

a b c (Å): 3.785 3.785 9.465
angles (deg): 90.00 90.00 90.00
Sites, in units of the cell vectors:
Ba 0.000 0.000 0.000
Ba 0.500 0.500 0.411
Mg 0.000 0.000 0.667
Ni 0.500 0.500 0.761

***

Record 4
The following is a GGA-PBE calculation of BaMg3Ni after structural relaxation, from Alexandria via LeMat-Bulk.

Computed properties:
total DFT energy (no corrections)	-0.81	eV per atom
total magnetization	0.1	Bohr magnetons per cell

a b c (Å): 6.577 6.577 6.577
angles (deg): 90.00 90.00 90.00
Sites, in units of the cell vectors:
Ba 0.000 0.000 0.000
Mg 0.000 0.000 0.500
Mg 0.000 0.500 0.000
Mg 0.500 0.000 0.000
Ni 0.500 0.500 0.500

***

Record 5
The following is a GGA-PBE calculation of BaMgNi after structural relaxation, from Alexandria via LeMat-Bulk.

Computed properties:
total DFT energy (no corrections)	-3.11	eV per atom
total magnetization	0.0	Bohr magnetons per cell

a b c (Å): 7.563 7.563 7.412
angles (deg): 90.00 90.00 129.82
Sites, in units of the cell vectors:
Ba 0.188 0.812 0.909
Ba 0.312 0.688 0.409
Ba 0.688 0.312 0.591
Ba 0.812 0.188 0.091
Mg 0.220 0.280 0.750
Mg 0.280 0.220 0.250
Mg 0.720 0.780 0.750
Mg 0.780 0.720 0.250
Ni 0.083 0.917 0.531
Ni 0.417 0.583 0.031
Ni 0.583 0.417 0.969
Ni 0.917 0.083 0.469

***

Record 6
The following is a GGA-PBE calculation of BaMgNi3 after structural relaxation, from Alexandria via LeMat-Bulk.

Computed properties:
total DFT energy (no corrections)	-3.60	eV per atom
total magnetization	0.0	Bohr magnetons per cell

a b c (Å): 4.711 4.711 4.711
angles (deg): 90.00 90.00 90.00
Sites, in units of the cell vectors:
Ba 0.000 0.000 0.000
Mg 0.500 0.500 0.500
Ni 0.000 0.500 0.500
Ni 0.500 0.000 0.500
Ni 0.500 0.500 0.000